Material: BaI3
Method: DFT, PBE
State: relaxed

Results
- total DFT energy (no corrections) (eV/cell) = -10.75
- V (Å³ per cell) = 165.22
- size of the total moment (Bohr magnetons per cell) = 1.00
- formation energy from raw total energies (eV/f.u.) = -4.178
- DOS(E_F) (states/eV/cell) = 8.9

Cell: 6.159 6.159 6.159 Å, 60.00 60.00 60.00°
Atoms (fractional coordinates):
I 0.250 0.250 0.250
I 0.000 0.000 0.000
I 0.750 0.750 0.750
Ba 0.500 0.500 0.500

***

Material: Sr3SmTh2As6
Method: DFT, PBE
State: relaxed

Results
- total DFT energy (no corrections) (eV/cell) = -68.12
- V (Å³ per cell) = 355.17
- size of the total moment (Bohr magnetons per cell) = 0.00
- DOS(E_F) (states/eV/cell) = 9.9
- formation enthalpy at 0 K (kcal/mol of atoms) = -30.01

Cell: 7.543 7.543 7.636 Å, 99.48 99.48 120.02°
Atoms (fractional coordinates):
As 0.076 0.411 0.228
As 0.589 0.924 0.772
As 0.741 0.741 0.228
As 0.411 0.076 0.228
As 0.259 0.259 0.772
As 0.924 0.589 0.772
Sr 0.500 0.500 0.500
Sr 0.166 0.834 0.500
Sr 0.834 0.166 0.500
Th 0.667 0.333 0.000
Th 0.333 0.667 0.000
Sm 0.000 0.000 0.000

***

Material: Ba2ScSe
Method: DFT, PBE
State: relaxed

Results
- total DFT energy (no corrections) (eV/cell) = -14.43
- V (Å³ per cell) = 142.65
- size of the total moment (Bohr magnetons per cell) = 2.43
- formation energy from raw total energies (eV/f.u.) = -0.764
- DOS(E_F) (states/eV/cell) = 6.0

Cell: 6.351 6.351 6.351 Å, 131.02 131.02 71.77°
Atoms (fractional coordinates):
Ba 0.500 0.500 0.000
Ba 0.000 0.000 0.000
Sc 0.750 0.250 0.500
Se 0.250 0.750 0.500

***

Material: Ag5SO2
Method: DFT, PBE
State: relaxed

Results
- total DFT energy (no corrections) (eV/cell) = -56.22
- V (Å³ per cell) = 293.55
- size of the total moment (Bohr magnetons per cell) = 0.00
- formation energy from raw total energies (eV/f.u.) = 0.189
- DOS(E_F) (states/eV/cell) = 6.3

Cell: 4.483 5.880 12.046 Å, 90.00 90.00 112.41°
Atoms (fractional coordinates):
O 0.853 0.705 0.440
O 0.853 0.705 0.060
O 0.147 0.295 0.560
O 0.147 0.295 0.940
S 0.789 0.578 0.750
S 0.211 0.422 0.250
Ag 0.194 0.388 0.750
Ag 0.634 0.268 0.530
Ag 0.962 0.923 0.628
Ag 0.962 0.923 0.872
Ag 0.366 0.732 0.470
Ag 0.038 0.077 0.128
Ag 0.038 0.077 0.372
Ag 0.366 0.732 0.030
Ag 0.634 0.268 0.970
Ag 0.806 0.612 0.250

***

Material: Na3SbMo
Method: DFT, PBE
State: relaxed

Results
- total DFT energy (no corrections) (eV/cell) = -12.78
- V (Å³ per cell) = 184.41
- size of the total moment (Bohr magnetons per cell) = 5.26
- formation energy from raw total energies (eV/f.u.) = 6.129
- DOS(E_F) (states/eV/cell) = 5.1
- excess energy over the best structure of this formula in the dataset (meV per atom) = 350

Cell: 5.692 5.692 5.692 Å, 90.00 90.00 90.00°
Atoms (fractional coordinates):
Na 0.000 0.500 0.000
Na 0.500 0.000 0.000
Na 0.000 0.000 0.500
Mo 0.000 0.000 0.000
Sb 0.500 0.500 0.500

***

Material: BaZr2In
Method: DFT, PBE
State: relaxed

Results
- total DFT energy (no corrections) (eV/cell) = -20.38
- V (Å³ per cell) = 110.85
- size of the total moment (Bohr magnetons per cell) = 0.94
- DOS(E_F) (states/eV/cell) = 4.9
- formation enthalpy at 0 K (kcal/mol of atoms) = 7.96

Cell: 5.392 5.392 5.392 Å, 60.00 60.00 60.00°
Atoms (fractional coordinates):
Zr 0.250 0.250 0.250
Zr 0.000 0.000 0.000
Ba 0.500 0.500 0.500
In 0.750 0.750 0.750

***

Material: FeIr2Cl
Method: DFT, PBE
State: relaxed

Results
- total DFT energy (no corrections) (eV/cell) = -26.38
- V (Å³ per cell) = 58.76
- size of the total moment (Bohr magnetons per cell) = 2.93
- formation energy from raw total energies (eV/f.u.) = 1.650
- DOS(E_F) (states/eV/cell) = 5.0
- excess energy over the best structure of this formula in the dataset (meV per atom) = 72

Cell: 8.460 8.460 8.460 Å, 19.46 19.46 19.46°
Atoms (fractional coordinates):
Ir 0.006 0.006 0.006
Ir 0.494 0.494 0.494
Fe 0.750 0.750 0.750
Cl 0.250 0.250 0.250

***

Material: CuSnPdO4
Method: DFT, PBE
State: relaxed

Results
- total DFT energy (no corrections) (eV/cell) = -77.93
- V (Å³ per cell) = 177.30
- size of the total moment (Bohr magnetons per cell) = 1.50
- formation energy from raw total energies (eV/f.u.) = -5.842
- DOS(E_F) (states/eV/cell) = 5.2

Cell: 6.073 6.377 6.288 Å, 119.54 90.00 118.44°
Atoms (fractional coordinates):
O 0.275 0.014 0.757
O 0.261 0.986 0.243
O 0.730 0.461 0.250
O 0.730 0.461 0.710
O 0.725 0.986 0.243
O 0.739 0.014 0.757
O 0.270 0.539 0.750
O 0.270 0.539 0.290
Pd 0.500 0.500 0.500
Pd 0.000 0.500 0.500
Sn 0.500 0.000 0.000
Sn 0.500 0.000 0.500
Cu 0.147 0.295 0.897
Cu 0.853 0.705 0.103

***

Material: Nd3Ho2Tl3
Method: DFT, PBE
State: relaxed

Results
- total DFT energy (no corrections) (eV/cell) = -32.70
- V (Å³ per cell) = 239.74
- size of the total moment (Bohr magnetons per cell) = 0.30
- DOS(E_F) (states/eV/cell) = 8.8
- formation enthalpy at 0 K (kcal/mol of atoms) = -6.17

Cell: 4.443 5.086 11.133 Å, 103.20 101.51 90.00°
Atoms (fractional coordinates):
Nd 0.500 0.000 0.000
Nd 0.380 0.380 0.759
Nd 0.620 0.620 0.241
Tl 0.131 0.131 0.261
Tl 0.000 0.500 0.000
Tl 0.869 0.869 0.739
Ho 0.263 0.763 0.526
Ho 0.737 0.237 0.474

***

Material: TeSe2
Method: DFT, PBE
State: relaxed

Results
- total DFT energy (no corrections) (eV/cell) = -9.13
- V (Å³ per cell) = 82.52
- size of the total moment (Bohr magnetons per cell) = 0.00
- formation energy from raw total energies (eV/f.u.) = 0.981
- DOS(E_F) (states/eV/cell) = 1.5
- excess energy over the best structure of this formula in the dataset (meV per atom) = 342

Cell: 4.887 4.887 4.887 Å, 60.00 60.00 60.00°
Atoms (fractional coordinates):
Te 0.000 0.000 0.000
Se 0.250 0.250 0.250
Se 0.750 0.750 0.750

***

Material: AcGaPtBr
Method: DFT, PBE
State: relaxed

Results
- total DFT energy (no corrections) (eV/cell) = -39.75
- V (Å³ per cell) = 242.81
- size of the total moment (Bohr magnetons per cell) = 0.00
- formation energy from raw total energies (eV/f.u.) = -5.024
- DOS(E_F) (states/eV/cell) = 4.1

Cell: 4.509 4.509 14.034 Å, 80.76 80.76 60.00°
Atoms (fractional coordinates):
Br 0.208 0.208 0.375
Br 0.792 0.792 0.625
Ac 0.922 0.922 0.233
Ac 0.078 0.078 0.767
Ga 0.691 0.691 0.926
Ga 0.309 0.309 0.074
Pt 0.370 0.370 0.891
Pt 0.630 0.630 0.109

***

Material: CaPS2Cl
Method: DFT, PBE
State: relaxed

Results
- total DFT energy (no corrections) (eV/cell) = -20.94
- V (Å³ per cell) = 104.06
- size of the total moment (Bohr magnetons per cell) = 0.00
- formation energy from raw total energies (eV/f.u.) = -3.428
- DOS(E_F) (states/eV/cell) = 0.7
- excess energy over the best structure of this formula in the dataset (meV per atom) = 0

Cell: 4.699 4.699 4.713 Å, 90.00 90.00 90.00°
Atoms (fractional coordinates):
P 0.000 0.000 0.000
Ca 0.500 0.500 0.500
Cl 0.000 0.000 0.500
S 0.000 0.500 0.000
S 0.500 0.000 0.000

***

Material: LiYNp2Te5
Method: DFT, PBE
State: relaxed

Results
- total DFT energy (no corrections) (eV/cell) = -115.37
- V (Å³ per cell) = 530.30
- size of the total moment (Bohr magnetons per cell) = 0.05
- formation energy from raw total energies (eV/f.u.) = -7.718
- DOS(E_F) (states/eV/cell) = 28.1

Cell: 4.349 9.555 13.105 Å, 90.00 90.00 103.16°
Atoms (fractional coordinates):
Y 0.800 0.599 0.509
Y 0.200 0.401 0.009
Np 0.874 0.748 0.800
Np 0.893 0.787 0.182
Np 0.107 0.213 0.682
Np 0.126 0.252 0.300
Te 0.502 0.005 0.281
Te 0.953 0.905 0.574
Te 0.312 0.624 0.344
Te 0.717 0.433 0.173
Te 0.688 0.376 0.844
Te 0.365 0.729 0.999
Te 0.047 0.095 0.074
Te 0.635 0.271 0.499
Te 0.498 0.995 0.781
Te 0.283 0.567 0.673
Li 0.559 0.118 0.962
Li 0.441 0.882 0.462

***

Material: LaPrHoIn
Method: DFT, PBE
State: relaxed

Results
- total DFT energy (no corrections) (eV/cell) = -17.68
- V (Å³ per cell) = 125.32
- size of the total moment (Bohr magnetons per cell) = 0.41
- DOS(E_F) (states/eV/cell) = 7.4
- formation enthalpy at 0 K (kcal/mol of atoms) = -3.79
- excess energy over the best structure of this formula in the dataset (meV per atom) = 0

Cell: 5.617 5.617 5.617 Å, 60.00 60.00 60.00°
Atoms (fractional coordinates):
In 0.250 0.250 0.250
Ho 0.750 0.750 0.750
Pr 0.000 0.000 0.000
La 0.500 0.500 0.500

***

Material: LiAlGa5
Method: DFT, PBE
State: relaxed

Results
- total DFT energy (no corrections) (eV/cell) = -41.72
- V (Å³ per cell) = 260.88
- size of the total moment (Bohr magnetons per cell) = 0.00
- DOS(E_F) (states/eV/cell) = 2.9
- formation enthalpy at 0 K (kcal/mol of atoms) = -0.23
- excess energy over the best structure of this formula in the dataset (meV per atom) = 68

Cell: 6.863 6.863 9.874 Å, 52.04 52.04 49.73°
Atoms (fractional coordinates):
Ga 0.775 0.760 0.526
Ga 0.760 0.775 0.026
Ga 0.250 0.750 0.750
Ga 0.225 0.240 0.474
Ga 0.750 0.250 0.250
Ga 0.240 0.225 0.974
Ga 0.389 0.319 0.626
Ga 0.611 0.681 0.374
Ga 0.319 0.389 0.126
Ga 0.681 0.611 0.874
Li 0.000 0.000 0.000
Li 0.000 0.000 0.500
Al 0.274 0.726 0.250
Al 0.726 0.274 0.750

***

Material: FeOsRu2
Method: DFT, PBE
State: relaxed

Results
- total DFT energy (no corrections) (eV/cell) = -37.73
- V (Å³ per cell) = 54.20
- size of the total moment (Bohr magnetons per cell) = 2.15
- DOS(E_F) (states/eV/cell) = 4.9
- formation enthalpy at 0 K (kcal/mol of atoms) = 2.96

Cell: 3.767 2.701 5.973 Å, 63.12 90.00 90.00°
Atoms (fractional coordinates):
Fe 0.500 0.250 0.250
Os 0.500 0.750 0.750
Ru 0.000 0.505 0.495
Ru 0.000 0.995 0.005

***

Material: MoRuRh2
Method: DFT, PBE
State: relaxed

Results
- total DFT energy (no corrections) (eV/cell) = -35.41
- V (Å³ per cell) = 57.60
- size of the total moment (Bohr magnetons per cell) = 0.00
- DOS(E_F) (states/eV/cell) = 4.0
- formation enthalpy at 0 K (kcal/mol of atoms) = -3.46
- excess energy over the best structure of this formula in the dataset (meV per atom) = 58

Cell: 4.369 2.747 4.800 Å, 90.00 90.00 90.00°
Atoms (fractional coordinates):
Mo 0.500 0.625 0.784
Rh 0.000 0.125 0.963
Rh 0.500 0.125 0.295
Ru 0.000 0.625 0.458

***

Material: CrAsC3
Method: DFT, PBE
State: relaxed

Results
- total DFT energy (no corrections) (eV/cell) = -27.76
- V (Å³ per cell) = 56.86
- size of the total moment (Bohr magnetons per cell) = 0.06
- DOS(E_F) (states/eV/cell) = 8.0
- formation enthalpy at 0 K (kcal/mol of atoms) = 65.43
- excess energy over the best structure of this formula in the dataset (meV per atom) = 846

Cell: 3.845 3.845 3.845 Å, 90.00 90.00 90.00°
Atoms (fractional coordinates):
C 0.000 0.500 0.000
C 0.000 0.000 0.500
C 0.500 0.000 0.000
Cr 0.500 0.500 0.500
As 0.000 0.000 0.000

***

Material: ZnNi3
Method: DFT, PBE
State: relaxed

Results
- total DFT energy (no corrections) (eV/cell) = -76.08
- V (Å³ per cell) = 182.69
- size of the total moment (Bohr magnetons per cell) = 2.54
- DOS(E_F) (states/eV/cell) = 22.8
- formation enthalpy at 0 K (kcal/mol of atoms) = -2.31

Cell: 4.396 8.241 5.043 Å, 90.00 90.00 90.00°
Atoms (fractional coordinates):
Ni 0.255 0.501 0.371
Ni 0.418 0.250 0.622
Ni 0.245 0.001 0.871
Ni 0.245 0.499 0.871
Ni 0.745 0.001 0.629
Ni 0.918 0.250 0.878
Ni 0.082 0.750 0.122
Ni 0.755 0.999 0.129
Ni 0.255 0.999 0.371
Ni 0.745 0.499 0.629
Ni 0.755 0.501 0.129
Ni 0.582 0.750 0.378
Zn 0.421 0.250 0.115
Zn 0.921 0.250 0.385
Zn 0.579 0.750 0.885
Zn 0.079 0.750 0.615

***

Material: GeOs
Method: DFT, PBE
State: relaxed

Results
- total DFT energy (no corrections) (eV/cell) = -122.04
- V (Å³ per cell) = 285.11
- size of the total moment (Bohr magnetons per cell) = 0.00
- DOS(E_F) (states/eV/cell) = 7.9
- formation enthalpy at 0 K (kcal/mol of atoms) = 6.82

Cell: 7.977 5.002 7.145 Å, 90.00 90.00 90.00°
Atoms (fractional coordinates):
Os 0.894 0.017 0.192
Os 0.606 0.983 0.692
Os 0.394 0.483 0.808
Os 0.374 0.307 0.476
Os 0.874 0.193 0.524
Os 0.626 0.807 0.024
Os 0.126 0.693 0.976
Os 0.106 0.517 0.308
Ge 0.664 0.513 0.629
Ge 0.836 0.487 0.129
Ge 0.336 0.013 0.871
Ge 0.091 0.486 0.665
Ge 0.591 0.014 0.335
Ge 0.409 0.514 0.165
Ge 0.909 0.986 0.835
Ge 0.164 0.987 0.371